(1)
A relaxed structure of RbHf2TeBr. Source: Alexandria via LeMat-Bulk, functional PBE-GGA.

The structure in POSCAR format:
```
RbHf2TeBr
1.0
5.026 0.000 0.000
0.000 5.026 0.000
0.000 0.000 6.086
Rb Hf Te Br
1 2 1 1
Cartesian
0.000 0.000 0.000
0.000 2.513 3.043
2.513 0.000 3.043
2.513 2.513 0.000
0.000 0.000 3.043
```

The energy is -4.548 eV per atom. Its space group is P4/mmm (123). As for the calculated volume: 30.75 A^3/atom. The crystal system is tetragonal.

---

(2)
A relaxed structure of Rb2HfTiBr6. Source: Alexandria via LeMat-Bulk, functional PBE-GGA.

The structure in POSCAR format:
```
Rb2HfTiBr6
1.0
0.000 5.390 5.390
5.390 0.000 5.390
5.390 5.390 0.000
Rb Hf Ti Br
2 1 1 6
Cartesian
2.695 2.695 2.695
8.085 8.085 8.085
0.000 0.000 0.000
5.390 5.390 5.390
5.390 5.390 2.679
5.390 2.679 5.390
8.102 5.390 5.390
2.679 5.390 5.390
5.390 8.102 5.390
5.390 5.390 8.102
```

The energy is -4.145 eV per atom. Its space group is Fm-3m (225). As for the calculated volume: 31.32 A^3/atom. The crystal system is cubic.

---

(3)
A relaxed structure of RbHfTl2Br8. Source: Alexandria via LeMat-Bulk, functional PBE-GGA.

The structure in POSCAR format:
```
RbHfTl2Br8
1.0
6.096 0.000 0.000
0.086 7.575 0.000
2.898 0.044 9.249
Rb Hf Tl Br
1 1 2 8
Cartesian
0.000 0.000 0.000
1.449 0.022 4.624
2.917 3.710 2.905
6.163 3.910 6.344
2.898 1.854 5.813
2.993 5.708 5.713
4.431 3.832 9.221
2.917 0.093 2.438
6.164 7.526 6.811
4.650 3.787 0.028
6.088 1.911 3.536
6.183 5.765 3.436
```

The energy is -3.589 eV per atom. Its space group is P-1 (2). As for the calculated volume: 35.59 A^3/atom. The crystal system is triclinic.